No. 1
Compound: CrBrCl2
Source: the Alexandria database
Functional: GGA-PBE
Structure: optimized geometry

Properties
Uncorrected formation energy (eV per atom): -0.872
Total magnetic moment (μB per atom): 0.749
Energy (eV for the cell shown): -18.48
Theoretical density (g/cm3): 3.01
Symmetry: Cmmm, No. 65

```
CrBrCl2
1.0
3.453 0.000 0.000
0.000 6.786 0.496
0.000 4.503 5.096
Cr Br Cl
1 1 2
Cartesian
1.727 2.822 1.398
1.727 8.467 4.194
0.000 4.261 2.112
0.000 1.384 0.684
```

---

No. 2
Compound: Cr2BrCl
Source: the Alexandria database
Functional: GGA-PBE
Structure: optimized geometry

Properties
Uncorrected formation energy (eV per atom): 0.158
Total magnetic moment (μB per atom): 2.458
Energy (eV for the cell shown): -22.14
Theoretical density (g/cm3): 3.80
Symmetry: Pmmm, No. 47

```
Cr2BrCl
1.0
3.631 0.000 0.000
0.000 6.726 0.000
0.000 0.000 3.930
Cr Br Cl
2 1 1
Cartesian
1.815 3.363 0.000
0.000 0.000 0.000
1.815 0.000 1.965
0.000 3.363 1.965
```

---

No. 3
Compound: Cr2BrCl
Source: the Alexandria database
Functional: GGA-PBE
Structure: optimized geometry

Properties
Uncorrected formation energy (eV per atom): 0.257
Total magnetic moment (μB per atom): 0.000
Energy (eV for the cell shown): -21.74
Theoretical density (g/cm3): 4.49
Symmetry: C2/m, No. 12

```
Cr2BrCl
1.0
4.802 -0.009 -0.018
3.802 2.932 -0.018
4.039 1.373 5.729
Cr Cl Br
2 1 1
Cartesian
7.109 2.416 3.606
11.855 4.028 4.935
9.482 3.222 4.270
3.161 1.074 1.423
```

---

No. 4
Compound: Cr2BrCl
Source: the Alexandria database
Functional: GGA-PBE
Structure: optimized geometry

Properties
Uncorrected formation energy (eV per atom): -0.182
Total magnetic moment (μB per atom): 0.007
Energy (eV for the cell shown): -23.49
Theoretical density (g/cm3): 3.95
Symmetry: Pm, No. 6

```
Cr2BrCl
1.0
-1.069 2.779 -2.052
-3.292 -0.246 1.380
-1.376 4.295 6.534
Cr Cl Br
2 1 1
Cartesian
-2.779 0.072 1.544
-1.495 2.086 0.418
-4.211 4.904 5.648
-2.878 1.544 3.590
```

---

No. 5
Compound: Cr3BrCl
Source: the Alexandria database
Functional: GGA-PBE
Structure: optimized geometry

Properties
Uncorrected formation energy (eV per atom): 1.788
Total magnetic moment (μB per atom): 0.000
Energy (eV for the cell shown): -23.45
Theoretical density (g/cm3): 5.08
Symmetry: Pm-3m, No. 221

```
Cr3BrCl
1.0
-4.165 1.316 0.896
-1.061 -4.166 1.186
1.187 0.894 4.204
Cr Cl Br
3 1 1
Cartesian
-0.530 -2.083 0.593
-2.083 0.658 0.448
0.594 0.447 2.102
-2.019 -0.978 3.143
0.000 0.000 0.000
```

---

No. 6
Compound: Cr2BrCl
Source: the Alexandria database
Functional: GGA-PBE
Structure: optimized geometry

Properties
Uncorrected formation energy (eV per atom): 0.918
Total magnetic moment (μB per atom): 0.000
Energy (eV for the cell shown): -19.09
Theoretical density (g/cm3): 6.57
Symmetry: Fm-3m, No. 225

```
Cr2BrCl
1.0
0.000 3.026 3.026
3.026 0.000 3.026
3.026 3.026 0.000
Br Cl Cr
1 1 2
Cartesian
3.026 3.026 3.026
0.000 0.000 0.000
1.513 1.513 1.513
4.539 4.539 4.539
```

---

No. 7
Compound: CrBrCl
Source: the Alexandria database
Functional: GGA-PBE
Structure: optimized geometry

Properties
Uncorrected formation energy (eV per atom): -0.631
Total magnetic moment (μB per atom): 1.333
Energy (eV for the cell shown): -15.04
Theoretical density (g/cm3): 3.03
Symmetry: Pmm2, No. 25

```
CrBrCl
1.0
3.866 0.000 0.000
0.000 3.774 0.000
0.000 0.000 6.287
Cl Br Cr
1 1 1
Cartesian
0.000 1.887 0.285
1.933 0.000 3.589
0.000 0.000 5.164
```

---

No. 8
Compound: CrBrCl2
Source: the Alexandria database
Functional: GGA-PBE
Structure: optimized geometry

Properties
Uncorrected formation energy (eV per atom): -0.264
Total magnetic moment (μB per atom): 0.981
Energy (eV for the cell shown): -16.05
Theoretical density (g/cm3): 3.29
Symmetry: P4/mmm, No. 123

```
CrBrCl2
1.0
-0.689 -2.096 -2.218
-2.193 -1.241 1.854
-7.100 6.572 -4.002
Cl Br Cr
2 1 1
Cartesian
-2.790 2.582 -1.572
-0.760 0.704 -0.428
-6.767 3.261 -3.183
-3.216 -0.025 -1.183
```

---

No. 9
Compound: CrBrCl
Source: the Alexandria database
Functional: GGA-PBE
Structure: optimized geometry

Properties
Uncorrected formation energy (eV per atom): -0.438
Total magnetic moment (μB per atom): 0.320
Energy (eV for the cell shown): -57.83
Theoretical density (g/cm3): 2.70
Symmetry: C2/m, No. 12

```
CrBrCl
1.0
-3.964 -1.457 -6.593
6.458 -2.177 -3.401
0.804 -5.798 5.239
Br Cl Cr
4 4 4
Cartesian
0.201 -4.881 3.506
3.028 -3.070 -0.814
0.271 -6.362 -3.941
-3.360 -2.374 -4.860
0.236 -5.621 -0.218
3.465 -6.710 -1.918
-0.166 -2.722 -2.837
3.063 -3.811 -4.538
-1.007 -5.635 1.695
1.819 -3.825 -2.625
-2.152 -1.619 -3.049
1.479 -5.607 -2.130
```

---

No. 10
Compound: CrBrCl
Source: the Alexandria database
Functional: GGA-PBE
Structure: optimized geometry

Properties
Uncorrected formation energy (eV per atom): -0.677
Total magnetic moment (μB per atom): 1.333
Energy (eV for the cell shown): -30.35
Theoretical density (g/cm3): 3.08
Symmetry: P1, No. 1

```
CrBrCl
1.0
4.711 -0.700 0.018
-1.093 6.572 -0.582
-0.951 -1.931 6.155
Cr Br Cl
2 2 2
Cartesian
2.536 3.321 1.412
-0.214 1.681 1.608
4.014 -1.017 3.034
2.242 0.952 0.389
0.023 3.802 0.429
1.220 2.595 3.282
```

---

No. 11
Compound: Cr3BrCl
Source: the Alexandria database
Functional: GGA-PBE
Structure: optimized geometry

Properties
Uncorrected formation energy (eV per atom): 0.882
Total magnetic moment (μB per atom): 3.115
Energy (eV for the cell shown): -27.98
Theoretical density (g/cm3): 3.46
Symmetry: Pm-3m, No. 221

```
Cr3BrCl
1.0
5.069 0.000 0.000
0.000 5.069 0.000
0.000 0.000 5.069
Cr Br Cl
3 1 1
Cartesian
0.000 2.534 0.000
2.534 0.000 0.000
0.000 0.000 2.534
2.534 2.534 2.534
0.000 0.000 0.000
```

---

No. 12
Compound: Cr4BrCl
Source: the Alexandria database
Functional: GGA-PBE
Structure: optimized geometry

Properties
Uncorrected formation energy (eV per atom): 1.182
Total magnetic moment (μB per atom): 0.154
Energy (eV for the cell shown): -34.92
Theoretical density (g/cm3): 5.79
Symmetry: F-43m, No. 216

```
Cr4BrCl
1.0
0.000 3.592 3.592
3.592 0.000 3.592
3.592 3.592 0.000
Cl Cr Br
1 4 1
Cartesian
0.000 0.000 0.000
2.608 2.608 4.576
4.576 4.576 4.576
2.608 4.576 2.608
4.576 2.608 2.608
1.796 1.796 1.796
```

---

No. 13
Compound: Cr2BrCl
Source: the Alexandria database
Functional: GGA-PBE
Structure: optimized geometry

Properties
Uncorrected formation energy (eV per atom): 0.095
Total magnetic moment (μB per atom): 2.498
Energy (eV for the cell shown): -44.77
Theoretical density (g/cm3): 3.41
Symmetry: I-42d, No. 122

```
Cr2BrCl
1.0
5.558 0.000 0.000
0.000 5.558 0.000
2.779 2.779 6.907
Br Cr Cl
2 4 2
Cartesian
5.558 2.779 3.453
0.000 0.000 0.000
1.566 4.168 1.727
3.992 1.389 1.727
6.947 6.771 5.180
4.168 4.345 5.180
2.779 5.558 3.453
2.779 2.779 0.000
```

---

No. 14
Compound: CrBrCl
Source: the Alexandria database
Functional: GGA-PBE
Structure: optimized geometry

Properties
Uncorrected formation energy (eV per atom): -0.775
Total magnetic moment (μB per atom): 1.333
Energy (eV for the cell shown): -30.94
Theoretical density (g/cm3): 3.22
Symmetry: P2_1/m, No. 11

```
CrBrCl
1.0
3.555 0.000 0.000
0.000 7.297 0.890
0.000 0.039 6.664
Br Cr Cl
2 2 2
Cartesian
2.666 2.921 2.155
0.889 4.415 5.399
0.889 1.815 3.567
2.666 5.520 3.987
2.666 0.794 4.801
0.889 6.541 2.753
```